A relaxed MnAlF4 crystal. Source: Alexandria via LeMat-Bulk, functional PBE with a Hubbard U.

Unit cell a=6.1877 b=6.1877 c=5.9493 alpha=90.00 beta=90.00 gamma=90.00
Closest atoms and distances in Å follow each position.
Space group P-42c (No. 112)
Symmetry-distinct sites (fractional):
Mn 0.0000 0.0000 0.0000 (multiplicity 2)  4 F 2.28
Al 0.0000 0.5000 0.2500 (multiplicity 2)  4 F 1.72
F 0.1440 0.3302 0.4218 (multiplicity 8)  1 Al 1.72

calculated volume	18.98	Å³/atom
energy	-69.4	eV for the cell shown